First-principles (PBE) data for a geometry-optimized HoScZnIr structure, as listed in the Alexandria database.

a b c (Å): 4.778 4.778 4.778
angles (deg): 60.00 60.00 60.00
Positions (direct):
Sc: 0.250 0.250 0.250
Zn: 0.500 0.500 0.500
Ir: 0.000 0.000 0.000
Ho: 0.750 0.750 0.750

Energy of formation   -0.66 eV/atom
Space group   No. 216
Crystal system   cubic
Uncorrected energy   -5.921 eV per atom